# PmPuFe

An optimized crystal structure of PmPuFe (GGA-PBE, the Open Quantum Materials Database).

abc: 4.4170 4.4170 4.4170
angles: 60.00 60.00 60.00
Each line ends with the local moment (μB).
Fractional coordinates of all 3 atoms:
Pm  0.5000  0.5000  0.5000  0.03
Fe  0.7500  0.7500  0.7500  -0.40
Pu  0.2500  0.2500  0.2500  -0.19

## Properties
- Crystal system: cubic
- Space group: No. 216
- Energy of formation: 1.49 eV/atom